[1]
Ba3Na2Sr5, relaxed, DFT PBE-GGA; energy relative to the elements = 159 meV per atom; total magnetization = 0.58 μB/cell
1.0
-7.766 9.689 3.875
7.766 -9.689 3.875
7.766 9.689 -3.875
Ba Na Sr
6 4 10
Direct
0.201 0.114 0.315
0.250 0.250 0.000
0.299 0.614 0.913
0.701 0.386 0.087
0.750 0.750 0.000
0.799 0.886 0.685
0.148 0.841 0.989
0.352 0.341 0.692
0.648 0.659 0.308
0.852 0.159 0.011
0.165 0.395 0.559
0.250 0.505 0.255
0.250 0.750 0.500
0.250 0.995 0.745
0.335 0.895 0.230
0.665 0.105 0.770
0.750 0.005 0.255
0.750 0.250 0.500
0.750 0.495 0.745
0.835 0.605 0.441

[2]
Ba4Na2Sr5, relaxed, DFT PBE-GGA; energy relative to the elements = 23 meV per atom; total magnetization = 0.00 μB/cell
1.0
10.906 0.000 0.000
0.000 24.568 0.000
0.000 0.000 4.549
Ba Na Sr
8 4 10
Direct
0.075 0.148 0.000
0.206 0.433 0.000
0.294 0.933 0.000
0.425 0.648 0.000
0.575 0.352 0.000
0.706 0.067 0.000
0.794 0.567 0.000
0.925 0.852 0.000
0.038 0.695 0.000
0.462 0.195 0.000
0.538 0.805 0.000
0.962 0.305 0.000
0.000 0.000 0.500
0.126 0.575 0.500
0.246 0.783 0.500
0.254 0.283 0.500
0.374 0.075 0.500
0.500 0.500 0.500
0.626 0.925 0.500
0.746 0.717 0.500
0.754 0.217 0.500
0.874 0.425 0.500

[3]
Ba2NaSr, relaxed, DFT PBE-GGA; energy relative to the elements = 43 meV per atom; total magnetization = 0.00 μB/cell
1.0
2.175 1.256 13.766
-2.175 1.256 13.766
0.000 -2.512 13.766
Ba Na Sr
2 1 1
Direct
0.246 0.246 0.246
0.754 0.754 0.754
0.500 0.500 0.500
0.000 0.000 0.000

[4]
Ba3Na4Sr, relaxed, DFT PBE-GGA; energy relative to the elements = 15 meV per atom; total magnetization = 0.00 μB/cell
1.0
4.683 0.000 0.000
0.000 6.548 0.000
0.000 0.000 13.105
Ba Na Sr
3 4 1
Direct
0.000 0.000 0.000
0.000 0.500 0.252
0.000 0.500 0.748
0.500 0.000 0.256
0.500 0.000 0.744
0.500 0.500 0.000
0.500 0.500 0.500
0.000 0.000 0.500

[5]
Ba3NaSr6, relaxed, DFT PBE-GGA; energy relative to the elements = 90 meV per atom; total magnetization = 0.00 μB/cell
1.0
12.611 0.000 0.000
0.000 13.659 0.000
0.000 0.000 6.725
Ba Na Sr
6 2 12
Direct
0.000 0.000 0.000
0.219 0.060 0.500
0.281 0.560 0.000
0.500 0.500 0.500
0.719 0.440 0.000
0.781 0.940 0.500
0.000 0.500 0.500
0.500 0.000 0.000
0.047 0.319 0.000
0.113 0.762 0.500
0.230 0.354 0.500
0.270 0.854 0.000
0.387 0.262 0.000
0.453 0.819 0.500
0.547 0.181 0.500
0.613 0.738 0.000
0.730 0.146 0.000
0.770 0.646 0.500
0.887 0.238 0.500
0.953 0.681 0.000

[6]
Ba5Na5Sr, relaxed, DFT PBE-GGA; energy relative to the elements = 23 meV per atom; total magnetization = 0.00 μB/cell
1.0
7.122 0.000 0.000
-3.561 6.167 0.000
0.000 0.000 12.834
Ba Na Sr
5 5 1
Direct
0.000 0.000 0.000
0.333 0.667 0.181
0.333 0.667 0.819
0.667 0.333 0.325
0.667 0.333 0.675
0.000 0.000 0.284
0.000 0.000 0.716
0.173 0.346 0.500
0.173 0.827 0.500
0.654 0.827 0.500
0.667 0.333 0.000